Record 1
The following is a PBE calculation of CaCu5 after structural relaxation, from Alexandria via LeMat-Bulk.

Unit cell a=7.5302 b=7.5302 c=3.6221 alpha=90.00 beta=90.00 gamma=151.99
Fractional coordinates of all 6 atoms:
1 Ca 0.9989 0.0011 0.0000
2 Cu 0.2935 0.7065 0.0000
3 Cu 0.6703 0.3297 0.0000
4 Cu 0.4064 0.5936 0.5000
5 Cu 0.7944 0.2056 0.5000
6 Cu 0.1698 0.8302 0.5000

Summary:
ρ = 6.160 g/cm³
raw total energy = -3.676 eV per atom
D(E_F) = 1.9 states/eV/f.u.
symmetry = Amm2, No. 38
total magnetization = 0.000 μB per cell



Record 2
The following is a PBE calculation of Ca3Cu after structural relaxation, from Alexandria via LeMat-Bulk.

Unit cell a=10.2172 b=10.2172 c=10.2172 alpha=22.81 beta=22.81 gamma=22.81
Fractional coordinates of all 4 atoms:
1 Ca 0.2757 0.2757 0.2757
2 Ca 0.5000 0.5000 0.5000
3 Ca 0.7243 0.7243 0.7243
4 Cu 0.0000 0.0000 0.0000

Summary:
ρ = 2.170 g/cm³
raw total energy = -2.498 eV per atom
D(E_F) = 3.6 states/eV/f.u.
symmetry = R-3m, No. 166
total magnetization = 0.000 μB per cell



Record 3
The following is a PBE calculation of CaCu after structural relaxation, from Alexandria via LeMat-Bulk.

Unit cell a=5.7132 b=5.7132 c=5.7132 alpha=90.00 beta=90.00 gamma=90.00
Fractional coordinates of all 8 atoms:
1 Ca 0.0795 0.5795 0.9205
2 Ca 0.4205 0.4205 0.4205
3 Ca 0.9205 0.0795 0.5795
4 Ca 0.5795 0.9205 0.0795
5 Cu 0.4076 0.9076 0.5924
6 Cu 0.0924 0.0924 0.0924
7 Cu 0.5924 0.4076 0.9076
8 Cu 0.9076 0.5924 0.4076

Summary:
ρ = 3.691 g/cm³
raw total energy = -2.996 eV per atom
D(E_F) = 0.9 states/eV/f.u.
symmetry = P2_13, No. 198
total magnetization = 0.000 μB per cell



Record 4
The following is a PBE calculation of CaCu6 after structural relaxation, from Alexandria via LeMat-Bulk.

Unit cell a=5.6085 b=5.6085 c=5.6085 alpha=109.47 beta=109.47 gamma=109.47
Fractional coordinates of all 7 atoms:
1 Ca 0.0000 0.0000 0.0000
2 Cu 0.2500 0.7500 0.5000
3 Cu 0.5000 0.7500 0.2500
4 Cu 0.2500 0.5000 0.7500
5 Cu 0.7500 0.2500 0.5000
6 Cu 0.5000 0.2500 0.7500
7 Cu 0.7500 0.5000 0.2500

Summary:
ρ = 5.152 g/cm³
offset from the most stable computed form = 0.475 eV/atom
D(E_F) = 3.0 states/eV/f.u.
symmetry = Im-3m, No. 229
total magnetization = 0.000 μB per cell



Record 5
The following is a PBE calculation of CaCu after structural relaxation, from Alexandria via LeMat-Bulk.

Unit cell a=4.5985 b=4.5985 c=4.5985 alpha=60.00 beta=60.00 gamma=60.00
Fractional coordinates of all 2 atoms:
1 Ca 0.0000 0.0000 0.0000
2 Cu 0.2500 0.2500 0.2500

Summary:
ρ = 2.503 g/cm³
raw total energy = -2.526 eV per atom
D(E_F) = 2.7 states/eV/f.u.
symmetry = F-43m, No. 216
total magnetization = 0.005 μB per cell



Record 6
The following is a PBE calculation of CaCu after structural relaxation, from Alexandria via LeMat-Bulk.

Unit cell a=5.7827 b=5.7827 c=5.8239 alpha=90.00 beta=90.00 gamma=90.00
Fractional coordinates of all 6 atoms:
1 Ca 0.5000 0.5000 0.0000
2 Ca 0.5000 0.0000 0.5000
3 Ca 0.0000 0.5000 0.5000
4 Cu 0.5000 0.5000 0.5000
5 Cu 0.0000 0.5000 0.0000
6 Cu 0.5000 0.0000 0.0000

Summary:
ρ = 2.651 g/cm³
raw total energy = -2.660 eV per atom
D(E_F) = 0.8 states/eV/f.u.
symmetry = P4/mmm, No. 123
total magnetization = 0.000 μB per cell



Record 7
The following is a PBE calculation of Ca4Cu3 after structural relaxation, from Alexandria via LeMat-Bulk.

Unit cell a=5.7119 b=5.7119 c=6.2151 alpha=90.00 beta=90.00 gamma=120.00
Fractional coordinates of all 7 atoms:
1 Ca 0.0000 0.0000 0.2337
2 Ca 0.0000 0.0000 0.7663
3 Ca 0.6667 0.3333 0.5000
4 Ca 0.3333 0.6667 0.5000
5 Cu 0.0000 0.5000 0.0000
6 Cu 0.5000 0.5000 0.0000
7 Cu 0.5000 0.0000 0.0000

Summary:
ρ = 3.319 g/cm³
offset from the most stable computed form = 0.108 eV/atom
D(E_F) = 6.6 states/eV/f.u.
symmetry = P6/mmm, No. 191
total magnetization = 0.000 μB per cell



Record 8
The following is a PBE calculation of Ca4Cu after structural relaxation, from Alexandria via LeMat-Bulk.

Unit cell a=3.9414 b=3.9414 c=14.0440 alpha=90.00 beta=90.00 gamma=120.00
Fractional coordinates of all 5 atoms:
1 Ca 0.6667 0.3333 0.8742
2 Ca 0.3333 0.6667 0.1258
3 Ca 0.6667 0.3333 0.6110
4 Ca 0.3333 0.6667 0.3890
5 Cu 0.0000 0.0000 0.0000

Summary:
ρ = 1.967 g/cm³
offset from the most stable computed form = 0.129 eV/atom
D(E_F) = 5.3 states/eV/f.u.
symmetry = P-3m1, No. 164
total magnetization = 0.001 μB per cell



Record 9
The following is a PBE calculation of CaCu6 after structural relaxation, from Alexandria via LeMat-Bulk.

Unit cell a=5.5654 b=5.5654 c=5.5654 alpha=90.00 beta=90.00 gamma=90.00
Fractional coordinates of all 7 atoms:
1 Ca 0.0000 0.0000 0.0000
2 Cu 0.1986 0.5000 0.5000
3 Cu 0.5000 0.5000 0.8014
4 Cu 0.5000 0.5000 0.1986
5 Cu 0.5000 0.1986 0.5000
6 Cu 0.5000 0.8014 0.5000
7 Cu 0.8014 0.5000 0.5000

Summary:
ρ = 4.059 g/cm³
offset from the most stable computed form = 0.723 eV/atom
D(E_F) = 3.6 states/eV/f.u.
symmetry = Pm-3m, No. 221
total magnetization = 0.000 μB per cell



Record 10
The following is a PBE calculation of Ca2Cu3 after structural relaxation, from Alexandria via LeMat-Bulk.

Unit cell a=4.1615 b=4.1615 c=7.9975 alpha=90.00 beta=90.00 gamma=120.00
Fractional coordinates of all 5 atoms:
1 Ca 0.6667 0.3333 0.2945
2 Ca 0.3333 0.6667 0.7055
3 Cu 0.0000 0.0000 0.0000
4 Cu 0.6667 0.3333 0.9392
5 Cu 0.3333 0.6667 0.0608

Summary:
ρ = 3.749 g/cm³
raw total energy = -3.351 eV per atom
D(E_F) = 2.1 states/eV/f.u.
symmetry = P-3m1, No. 164
total magnetization = 0.000 μB per cell



Record 11
The following is a PBE calculation of Ca3Cu after structural relaxation, from Alexandria via LeMat-Bulk.

Unit cell a=3.6895 b=3.6899 c=9.3018 alpha=90.00 beta=90.00 gamma=89.86
Fractional coordinates of all 4 atoms:
1 Ca 0.0000 0.0000 0.0671
2 Ca 0.5000 0.5000 0.7500
3 Ca 0.0000 0.0000 0.4329
4 Cu 0.5000 0.5000 0.2500

Summary:
ρ = 2.410 g/cm³
raw total energy = -2.550 eV per atom
D(E_F) = 3.7 states/eV/f.u.
symmetry = Cmmm, No. 65
total magnetization = 0.000 μB per cell



Record 12
The following is a PBE calculation of CaCu after structural relaxation, from Alexandria via LeMat-Bulk.

Unit cell a=4.2245 b=5.8109 c=19.5482 alpha=85.63 beta=90.00 gamma=90.00
Fractional coordinates of all 20 atoms:
1 Ca 0.7500 0.3498 0.1288
2 Ca 0.2500 0.6502 0.8712
3 Ca 0.7500 0.5477 0.3285
4 Ca 0.2500 0.4523 0.6715
5 Ca 0.7500 0.2400 0.5280
6 Ca 0.2500 0.7600 0.4720
7 Ca 0.7500 0.9377 0.7283
8 Ca 0.2500 0.0623 0.2717
9 Ca 0.7500 0.1423 0.9278
10 Ca 0.2500 0.8577 0.0722
11 Cu 0.7500 0.8164 0.1880
12 Cu 0.2500 0.1836 0.8121
13 Cu 0.7500 0.0495 0.3878
14 Cu 0.2500 0.9505 0.6122
15 Cu 0.7500 0.7442 0.5879
16 Cu 0.2500 0.2558 0.4121
17 Cu 0.7500 0.4043 0.7875
18 Cu 0.2500 0.5957 0.2125
19 Cu 0.7500 0.6090 0.9877
20 Cu 0.2500 0.3910 0.0123

Summary:
ρ = 3.596 g/cm³
raw total energy = -3.202 eV per atom
D(E_F) = 1.0 states/eV/f.u.
symmetry = P2_1/m, No. 11
total magnetization = 0.000 μB per cell



- Which of these has the lowest D(E_F)?
  number 6



Copy entry 12 word for word.
The following is a PBE calculation of CaCu after structural relaxation, from Alexandria via LeMat-Bulk.

Unit cell a=4.2245 b=5.8109 c=19.5482 alpha=85.63 beta=90.00 gamma=90.00
Fractional coordinates of all 20 atoms:
1 Ca 0.7500 0.3498 0.1288
2 Ca 0.2500 0.6502 0.8712
3 Ca 0.7500 0.5477 0.3285
4 Ca 0.2500 0.4523 0.6715
5 Ca 0.7500 0.2400 0.5280
6 Ca 0.2500 0.7600 0.4720
7 Ca 0.7500 0.9377 0.7283
8 Ca 0.2500 0.0623 0.2717
9 Ca 0.7500 0.1423 0.9278
10 Ca 0.2500 0.8577 0.0722
11 Cu 0.7500 0.8164 0.1880
12 Cu 0.2500 0.1836 0.8121
13 Cu 0.7500 0.0495 0.3878
14 Cu 0.2500 0.9505 0.6122
15 Cu 0.7500 0.7442 0.5879
16 Cu 0.2500 0.2558 0.4121
17 Cu 0.7500 0.4043 0.7875
18 Cu 0.2500 0.5957 0.2125
19 Cu 0.7500 0.6090 0.9877
20 Cu 0.2500 0.3910 0.0123

Summary:
ρ = 3.596 g/cm³
raw total energy = -3.202 eV per atom
D(E_F) = 1.0 states/eV/f.u.
symmetry = P2_1/m, No. 11
total magnetization = 0.000 μB per cell